## RbPIr3 (PBE)

Data for an optimized crystal structure of RbPIr3.

a b c (Å): 4.8540 4.8540 4.8540
angles (deg): 90.00 90.00 90.00
Closest atoms and distances in Å follow each position.
Space group Pm-3m (No. 221)
Inequivalent atoms, fractional coordinates:
Rb 0.0000 0.0000 0.0000 (multiplicity 1)  6 Ir 2.43
P 0.5000 0.5000 0.5000 (multiplicity 1)  12 Ir 3.43
Ir 0.0000 0.0000 0.5000 (multiplicity 3)  2 Rb 2.43

## Properties
M_tot = 0.25 μB per atom
Calculated volume = 114.4 Å³/f.u.
VASP energy = -3.057 eV per atom
Energy of formation from the pure elements = 3.53 eV/atom



## Rb2P2Ir (PBE)

Data for an optimized crystal structure of Rb2P2Ir.

a b c (Å): 6.1732 6.1732 5.7765
angles (deg): 90.00 90.00 90.00
Closest atoms and distances in Å follow each position.
Space group P4/mbm (No. 127)
Inequivalent atoms, fractional coordinates:
Rb 0.1826 0.3174 0.0000 (multiplicity 4)  5 Rb 3.19-3.20, 6 P 3.31-3.49
P 0.1312 0.6312 0.5000 (multiplicity 4)  1 P 2.29, 2 Ir 2.42
Ir 0.0000 0.0000 0.5000 (multiplicity 2)  4 P 2.42

## Properties
M_tot = 0.00 μB per atom
Calculated volume = 110.1 Å³/f.u.
VASP energy = -4.595 eV per atom
Energy of formation from the pure elements = -0.27 eV/atom



Mass density (g cm⁻³)
10.1 6.4